Here is a relaxed structure of DyZn8Pd4 from the Alexandria database. Energies are from PBE.

```
DyZn8Pd4
1.0
-4.384 4.384 2.742
4.384 -4.384 2.742
4.384 4.384 -2.742
Dy Zn Pd
1 8 4
direct
0.000 0.000 0.000
0.000 0.347 0.347
0.000 0.653 0.653
0.283 0.500 0.783
0.347 0.000 0.347
0.500 0.283 0.783
0.500 0.717 0.217
0.653 0.000 0.653
0.717 0.500 0.217
0.000 0.000 0.500
0.000 0.500 0.000
0.500 0.000 0.000
0.500 0.500 0.500
```

- Energy of formation: -447 meV/atom
- Magnetization: 0.0 μB/cell